Entry 1:
Below is an optimized crystal structure of PrPaAu2, with properties calculated at the PBE-GGA level.

Geometry as POSCAR:
```
PrPaAu2
1.0
1.985 1.146 8.062
-1.985 1.146 8.062
0.000 -2.292 8.062
Pr Pa Au
1 1 2
direct
0.000 0.000 0.000
0.500 0.500 0.500
0.244 0.244 0.244
0.756 0.756 0.756
```

## Properties
polymorph energy (0 for the lowest one)	127	meV per atom
E	-5.51	eV/atom
calculated volume	27.51	A^3/atom
formation energy from the elements	-0.30	eV/atom

***

Entry 2:
Below is an optimized crystal structure of Y4Nb6O19, with properties calculated at the PBE-GGA level.

Geometry as POSCAR:
```
Y4Nb6O19
1.0
-4.580 4.580 4.580
4.580 -4.580 4.580
4.580 4.580 -4.580
Y Nb O
4 6 19
direct
0.000 0.000 0.288
0.000 0.288 0.000
0.288 0.000 0.000
0.712 0.712 0.712
0.153 0.500 0.653
0.347 0.847 0.500
0.500 0.347 0.847
0.500 0.653 0.153
0.653 0.153 0.500
0.847 0.500 0.347
0.000 0.000 0.000
0.000 0.329 0.329
0.000 0.671 0.671
0.031 0.755 0.362
0.245 0.276 0.608
0.276 0.608 0.245
0.329 0.000 0.329
0.329 0.329 0.000
0.331 0.724 0.969
0.362 0.031 0.755
0.392 0.669 0.638
0.608 0.245 0.276
0.638 0.392 0.669
0.669 0.638 0.392
0.671 0.000 0.671
0.671 0.671 0.000
0.724 0.969 0.331
0.755 0.362 0.031
0.969 0.331 0.724
```

## Properties
E	-9.02	eV/atom
calculated volume	13.25	A^3/atom
raw formation energy	-81.16	eV/f.u.

***

Entry 3:
Below is an optimized crystal structure of TcAs2Ru, with properties calculated at the PBE-GGA level.

Geometry as POSCAR:
```
TcAs2Ru
1.0
2.988 0.000 0.000
0.000 3.861 0.000
0.000 0.000 5.467
Tc As Ru
1 2 1
direct
0.000 0.000 0.000
0.500 0.500 0.231
0.500 0.500 0.769
0.500 0.000 0.500
```

## Properties
polymorph energy (0 for the lowest one)	407	meV per atom
E	-6.95	eV/atom
calculated volume	15.76	A^3/atom
formation energy from the elements	0.28	eV/atom

***

Entry 4:
Below is an optimized crystal structure of TiCd2RuO6, with properties calculated at the PBE-GGA level.

Geometry as POSCAR:
```
TiCd2RuO6
1.0
5.609 0.000 0.000
0.000 5.609 0.000
0.000 0.000 3.861
Ti Cd Ru O
1 2 1 6
direct
0.000 0.000 0.000
0.000 0.500 0.422
0.500 0.000 0.422
0.500 0.500 0.025
0.000 0.000 0.528
0.248 0.248 0.044
0.248 0.752 0.044
0.500 0.500 0.527
0.752 0.248 0.044
0.752 0.752 0.044
```

## Properties
E	-6.27	eV/atom
calculated volume	12.15	A^3/atom
raw formation energy	-13.94	eV/f.u.

***

Entry 5:
Below is an optimized crystal structure of Nd8Ir3Br4Cl, with properties calculated at the PBE-GGA level.

Geometry as POSCAR:
```
Nd8Ir3Br4Cl
1.0
4.225 2.439 7.695
-4.225 2.439 7.695
0.000 -4.878 7.695
Nd Ir Br Cl
8 3 4 1
direct
0.211 0.745 0.745
0.231 0.231 0.231
0.255 0.255 0.789
0.255 0.789 0.255
0.745 0.211 0.745
0.745 0.745 0.211
0.769 0.769 0.769
0.789 0.255 0.255
0.000 0.000 0.500
0.000 0.500 0.000
0.500 0.000 0.000
0.000 0.000 0.000
0.000 0.500 0.500
0.500 0.000 0.500
0.500 0.500 0.000
0.500 0.500 0.500
```

## Properties
E	-5.70	eV/atom
calculated volume	29.74	A^3/atom
raw formation energy	-18.00	eV/f.u.